Material: LiPuPa2N4
Method: DFT, GGA-PBE
State: optimized geometry

Calculated values
Its final energy is -78.82 eV/cell. The uncorrected formation energy comes out at -1.285 eV/atom. The calculation puts the total magnetic moment at 6.287 μB per cell.

abc: 5.853 3.559 6.124
angles: 90.00 109.36 90.00
Space group P2/m (No. 10)
Asymmetric unit:
Li (0.000, 0.000, 0.000) [1 per cell]
Pu (0.000, 0.500, 0.500) [1 per cell]
Pa (0.500, 0.000, 0.500) [1 per cell]
Pa (0.500, 0.500, 0.000) [1 per cell]
N (0.278, 0.000, 0.763) [2 per cell]
N (0.295, 0.500, 0.268) [2 per cell]


Material: Li3Pu2PaN6
Method: DFT, GGA-PBE
State: optimized geometry

Calculated values
Its final energy is -211.56 eV/cell. The uncorrected formation energy comes out at -0.994 eV/atom. The calculation puts the total magnetic moment at 12.000 μB per cell.

abc: 14.371 3.472 6.360
angles: 90.00 95.65 90.00
Space group C2/m (No. 12)
Asymmetric unit:
Li (0.000, 0.000, 0.000) [2 per cell]
Li (0.181, 0.500, 0.350) [4 per cell]
Pu (0.167, 0.500, 0.842) [4 per cell]
Pa (0.000, 0.000, 0.500) [2 per cell]
N (0.013, 0.500, 0.734) [4 per cell]
N (0.159, 0.000, 0.614) [4 per cell]
N (0.180, 0.000, 0.066) [4 per cell]